VASP calculation (PBE-GGA) on an optimized crystal structure of RuO4.

a b c (Å): 5.451 5.451 8.991
angles (deg): 113.24 113.24 51.84
Fractional coordinates of all 10 atoms:
Ru 0.246 0.754 0.750
Ru 0.754 0.246 0.250
O 0.072 0.149 0.414
O 0.149 0.072 0.914
O 0.341 0.432 0.804
O 0.432 0.341 0.304
O 0.568 0.659 0.696
O 0.659 0.568 0.196
O 0.851 0.928 0.086
O 0.928 0.851 0.586

Properties
* energy: -32.2 eV/f.u.
* raw formation energy: -3.11 eV per formula unit
* crystal system: monoclinic
* SG: C2/c (15)

=====

VASP calculation (PBE-GGA) on an optimized crystal structure of TaIn3F.

a b c (Å): 4.690 4.690 4.690
angles (deg): 90.00 90.00 90.00
Fractional coordinates of all 5 atoms:
Ta 0.000 0.000 0.000
In 0.000 0.500 0.500
In 0.500 0.000 0.500
In 0.500 0.500 0.000
F 0.500 0.500 0.500

Properties
* energy: -21.9 eV/f.u.
* raw formation energy: 0.01 eV per formula unit
* offset from the most stable computed form: 0 meV/atom
* crystal system: cubic
* SG: Pm-3m (221)